Below is a relaxed CuSeBr2 crystal, with properties calculated at the PBE-GGA level.

**Formation energy without anion corrections**: -0.082 eV/atom
**Crystal system**: orthorhombic
**Excess energy over the best structure of this formula in the dataset**: 84 meV/atom

a b c (Å): 4.0754 4.5809 12.3529
angles (deg): 90.00 90.00 90.00
Space group Amm2 (No. 38)
Unique sites:
Cu: 0.0000 0.0000 0.0000 (multiplicity 2)
Se: 0.5000 0.0000 0.1050 (multiplicity 2)
Br: 0.0000 0.0000 0.4153 (multiplicity 2)
Br: 0.5000 0.0000 0.6876 (multiplicity 2)

Below is a relaxed AcHgGePd6 crystal, with properties calculated at the PBE-GGA level.

**Formation energy**: -0.264 eV/atom
**Crystal system**: orthorhombic

a b c (Å): 6.7400 9.5223 11.5045
angles (deg): 90.00 90.00 90.00
Space group Imma (No. 74)
Unique sites:
Ac: 0.0000 0.2500 0.1868 (multiplicity 4)
Hg: 0.2500 0.2500 0.7500 (multiplicity 4)
Ge: 0.0000 0.0000 0.5000 (multiplicity 4)
Pd: 0.0000 0.2500 0.4423 (multiplicity 4)
Pd: 0.0000 0.2500 0.9417 (multiplicity 4)
Pd: 0.2132 0.0036 0.8749 (multiplicity 16)

Below is a relaxed Ca2OsCl crystal, with properties calculated at the PBE-GGA level.

**Formation energy without anion corrections**: -0.491 eV/atom
**Crystal system**: orthorhombic
**Excess energy over the best structure of this formula in the dataset**: 0 meV/atom

a b c (Å): 4.7387 4.7465 7.7802
angles (deg): 90.00 90.00 90.00
Space group Cmmm (No. 65)
Unique sites:
Ca: 0.0000 0.0000 0.2283 (multiplicity 4)
Os: 0.0000 0.5000 0.0000 (multiplicity 2)
Cl: 0.0000 0.5000 0.5000 (multiplicity 2)

no.,DOS at the Fermi energy (states/eV per atom),magnetic moment (μB/cell)
1,1.0774,0.0
2,0.3812,0.0
3,1.0103,0.0